Crystalline Cu2SnH at its relaxed geometry, computed with PBE.

Computed properties:
The value obtained for the volume is 14.13 Å³ per atom. As for the relative energy among the computed polymorphs: 425 meV per atom.

Lattice parameters (Å, degrees): 4.3078 4.3078 4.3078 60.00 60.00 60.00
Element x y z (fractional)
Cu (0.2500, 0.2500, 0.2500)
Cu (0.7500, 0.7500, 0.7500)
Sn (0.0000, 0.0000, 0.0000)
H (0.5000, 0.5000, 0.5000)



Crystalline H2Pd9Pb3Au at its relaxed geometry, computed with PBE.

Computed properties:
The electronic total energy comes out at -0.172 hartree per atom. The value obtained for the volume is 17.07 Å³ per atom.

Lattice parameters (Å, degrees): 5.6879 5.6879 9.1416 90.00 90.00 120.00
Element x y z (fractional)
H (0.3333, 0.6667, 0.1311)
H (0.6667, 0.3333, 0.8689)
Pd (0.0000, 0.5000, 0.0000)
Pd (0.1678, 0.3356, 0.2606)
Pd (0.1678, 0.8322, 0.2606)
Pd (0.3356, 0.1678, 0.7394)
Pd (0.5000, 0.0000, 0.0000)
Pd (0.5000, 0.5000, 0.0000)
Pd (0.6644, 0.8322, 0.2606)
Pd (0.8322, 0.1678, 0.7394)
Pd (0.8322, 0.6644, 0.7394)
Pb (0.0000, 0.0000, 0.0000)
Pb (0.3333, 0.6667, 0.6727)
Pb (0.6667, 0.3333, 0.3273)
Au (0.0000, 0.0000, 0.5000)



Crystalline TiGaI2 at its relaxed geometry, computed with PBE.

Computed properties:
The calculation puts the uncorrected formation energy at -0.170 eV per atom. The value obtained for the volume is 35.22 Å³ per atom. As for the relative energy among the computed polymorphs: 0 meV per atom.

Lattice parameters (Å, degrees): 7.6931 7.6931 7.6931 97.19 97.19 138.57
Element x y z (fractional)
Ti (0.0000, 0.0000, 0.0000)
Ti (0.7500, 0.2500, 0.5000)
Ga (0.2500, 0.7500, 0.5000)
Ga (0.5000, 0.5000, 0.0000)
I (0.3750, 0.0313, 0.1563)
I (0.7813, 0.6250, 0.6563)
I (0.8750, 0.2187, 0.8437)
I (0.9687, 0.1250, 0.3437)



Crystalline Dy2YMn at its relaxed geometry, computed with PBE.

Computed properties:
The value obtained for the volume is 27.16 Å³ per atom. The calculation puts the formation energy at 0.122 eV/atom. As for the relative energy among the computed polymorphs: 0 meV per atom.

Lattice parameters (Å, degrees): 3.5528 3.5528 8.6081 90.00 90.00 90.00
Element x y z (fractional)
Dy (0.0000, 0.0000, 0.1996)
Dy (0.0000, 0.0000, 0.8004)
Y (0.5000, 0.5000, 0.5000)
Mn (0.5000, 0.5000, 0.0000)



Crystalline GaNi at its relaxed geometry, computed with PBE.

Computed properties:
The value obtained for the volume is 12.41 Å³ per atom. The calculation puts the formation energy at -0.364 eV/atom.

Lattice parameters (Å, degrees): 2.9167 2.9167 2.9167 90.00 90.00 90.00
Element x y z (fractional)
Ga (0.0000, 0.0000, 0.0000)
Ni (0.5000, 0.5000, 0.5000)



Crystalline LaTbErSc at its relaxed geometry, computed with PBE.

Computed properties:
The value obtained for the volume is 31.15 Å³ per atom. The calculation puts the formation energy at 0.095 eV/atom. As for the relative energy among the computed polymorphs: 7 meV per atom.

Lattice parameters (Å, degrees): 5.6064 5.6064 5.6064 60.00 60.00 60.00
Element x y z (fractional)
La (0.0000, 0.0000, 0.0000)
Tb (0.5000, 0.5000, 0.5000)
Er (0.7500, 0.7500, 0.7500)
Sc (0.2500, 0.2500, 0.2500)



Crystalline CsNa2AlTl at its relaxed geometry, computed with PBE.

Computed properties:
The value obtained for the volume is 40.48 Å³ per atom. The calculation puts the formation energy at 0.113 eV/atom.

Lattice parameters (Å, degrees): 6.0962 6.0962 5.4455 90.00 90.00 90.00
Element x y z (fractional)
Cs (0.0000, 0.0000, 0.0000)
Na (0.0000, 0.5000, 0.5000)
Na (0.5000, 0.0000, 0.5000)
Al (0.5000, 0.5000, 0.5000)
Tl (0.5000, 0.5000, 0.0000)



Crystalline Mg2Sn at its relaxed geometry, computed with PBE.

Computed properties:
The value obtained for the volume is 26.30 Å³ per atom. The calculation puts the formation energy at -0.189 eV/atom.

Lattice parameters (Å, degrees): 4.8141 4.8141 4.8141 60.00 60.00 60.00
Element x y z (fractional)
Mg (0.2500, 0.2500, 0.2500)
Mg (0.7500, 0.7500, 0.7500)
Sn (0.0000, 0.0000, 0.0000)